1.
Hg2Pb | GGA-PBEsol | relaxed Values from VASP.

Computed properties:
The calculation puts the size of the total moment at 0.00 μB per formula unit. The calculation puts the theoretical density at 13.4 g cm⁻³. The calculation puts the density of states at the Fermi level at 0.42 states/eV per atom. As for the excess energy over the best structure of this formula in the dataset: 0.010 eV per formula unit.

```
&SYSTEM
  ibrav = 0, nat = 6, ntyp = 2
/
ATOMIC_SPECIES
Hg 200.59 Hg.upf
Pb 207.20 Pb.upf
CELL_PARAMETERS angstrom
-1.8652 -5.0041 -0.2973
1.9292 -1.0001 4.7303
-5.6312 2.1063 -0.1223
ATOMIC_POSITIONS crystal
Hg 0.7500 0.1040 0.6494
Hg 0.2500 0.8960 0.3506
Hg 0.7500 0.4546 0.3506
Hg 0.2500 0.5454 0.6494
Pb 0.7500 0.7773 0.0000
Pb 0.2500 0.2227 0.0000
```


2.
Hg3Pb | GGA-PBEsol | relaxed Values from VASP.

Computed properties:
The calculation puts the size of the total moment at 0.00 μB per formula unit. The calculation puts the theoretical density at 13.4 g cm⁻³. The calculation puts the density of states at the Fermi level at 0.34 states/eV per atom. For the total energy, the calculation gives -1.390 eV/atom.

```
&SYSTEM
  ibrav = 0, nat = 8, ntyp = 2
/
ATOMIC_SPECIES
Hg 200.59 Hg.upf
Pb 207.20 Pb.upf
CELL_PARAMETERS angstrom
-0.4544 2.9873 5.0095
-1.0523 -4.9842 2.8767
5.7368 -0.6776 0.9245
ATOMIC_POSITIONS crystal
Hg 0.7500 0.5000 0.0000
Hg 0.2500 0.5000 0.0000
Hg 0.0000 0.7500 0.5000
Hg 0.0000 0.2500 0.5000
Hg 0.5000 0.0000 0.2500
Hg 0.5000 0.0000 0.7500
Pb 0.0000 0.0000 0.0000
Pb 0.5000 0.5000 0.5000
```


3.
Hg2Pb | GGA-PBEsol | relaxed Values from VASP.

Computed properties:
The calculation puts the size of the total moment at 0.00 μB per formula unit. The calculation puts the theoretical density at 13.0 g cm⁻³. The calculation puts the density of states at the Fermi level at 0.48 states/eV per atom. As for the excess energy over the best structure of this formula in the dataset: 0.100 eV per formula unit.

```
&SYSTEM
  ibrav = 0, nat = 6, ntyp = 2
/
ATOMIC_SPECIES
Hg 200.59 Hg.upf
Pb 207.20 Pb.upf
CELL_PARAMETERS angstrom
3.2820 0.0000 0.0000
0.0000 3.2820 0.0000
-1.6410 -1.6410 14.3935
ATOMIC_POSITIONS crystal
Hg 0.0825 0.0825 0.1650
Hg 0.1675 0.6675 0.3350
Hg 0.9175 0.9175 0.8350
Hg 0.3325 0.8325 0.6650
Pb 0.5000 0.5000 0.0000
Pb 0.7500 0.2500 0.5000
```


4.
HgPb | GGA-PBEsol | relaxed Values from VASP.

Computed properties:
The calculation puts the size of the total moment at 0.00 μB per formula unit. The calculation puts the theoretical density at 13.0 g cm⁻³. The calculation puts the density of states at the Fermi level at 0.42 states/eV per atom. For the total energy, the calculation gives -2.275 eV/atom.

```
&SYSTEM
  ibrav = 0, nat = 4, ntyp = 2
/
ATOMIC_SPECIES
Pb 207.20 Pb.upf
Hg 200.59 Hg.upf
CELL_PARAMETERS angstrom
-0.8440 -0.1114 -4.4735
-4.4661 -0.2634 0.8492
2.3459 5.2150 1.7453
ATOMIC_POSITIONS crystal
Pb 0.7500 0.2500 0.5000
Pb 0.5000 0.5000 0.0000
Hg 0.2500 0.7500 0.5000
Hg 0.0000 0.0000 0.0000
```


5.
Hg24Pb5 | GGA-PBEsol | relaxed Values from VASP.

Computed properties:
The calculation puts the size of the total moment at 0.00 μB per formula unit. The calculation puts the theoretical density at 13.9 g cm⁻³. The calculation puts the density of states at the Fermi level at 0.38 states/eV per atom. For the total energy, the calculation gives -1.142 eV/atom.

```
&SYSTEM
  ibrav = 0, nat = 29, ntyp = 2
/
ATOMIC_SPECIES
Hg 200.59 Hg.upf
Pb 207.20 Pb.upf
CELL_PARAMETERS angstrom
9.6739 0.0000 0.0000
-3.2246 9.1207 0.0000
-3.2246 -4.5603 7.8987
ATOMIC_POSITIONS crystal
Hg 0.6173 0.8100 0.6173
Hg 0.8074 0.1900 0.8074
Hg 0.1926 0.0000 0.3827
Hg 0.3827 0.0000 0.1926
Hg 0.8100 0.6173 0.6173
Hg 0.1900 0.8074 0.8074
Hg 0.0000 0.3827 0.1926
Hg 0.0000 0.1926 0.3827
Hg 0.6173 0.6173 0.8100
Hg 0.8074 0.8074 0.1900
Hg 0.3827 0.1926 0.0000
Hg 0.1926 0.3827 0.0000
Hg 0.5916 0.2738 0.5916
Hg 0.3179 0.7262 0.3179
Hg 0.6821 0.0000 0.4084
Hg 0.4084 0.0000 0.6821
Hg 0.2738 0.5916 0.5916
Hg 0.7262 0.3179 0.3179
Hg 0.0000 0.4084 0.6821
Hg 0.0000 0.6821 0.4084
Hg 0.5916 0.5916 0.2738
Hg 0.3179 0.3179 0.7262
Hg 0.4084 0.6821 0.0000
Hg 0.6821 0.4084 0.0000
Pb 0.3560 0.3560 0.3560
Pb 0.0000 0.6440 0.0000
Pb 0.0000 0.0000 0.6440
Pb 0.6440 0.0000 0.0000
Pb 0.0000 0.0000 0.0000
```


6.
Hg2Pb | GGA-PBEsol | relaxed Values from VASP.

Computed properties:
The calculation puts the size of the total moment at 0.00 μB per formula unit. The calculation puts the theoretical density at 13.4 g cm⁻³. The calculation puts the density of states at the Fermi level at 0.47 states/eV per atom. As for the excess energy over the best structure of this formula in the dataset: 0.012 eV per formula unit.

```
&SYSTEM
  ibrav = 0, nat = 3, ntyp = 2
/
ATOMIC_SPECIES
Pb 207.20 Pb.upf
Hg 200.59 Hg.upf
CELL_PARAMETERS angstrom
3.7638 0.0000 0.0000
0.0000 3.7638 0.0000
-1.8819 -1.8819 5.3241
ATOMIC_POSITIONS crystal
Pb 0.0000 0.0000 0.0000
Hg 0.3256 0.3256 0.6512
Hg 0.6744 0.6744 0.3488
```


7.
HgPb | GGA-PBEsol | relaxed Values from VASP.

Computed properties:
The calculation puts the size of the total moment at 0.00 μB per formula unit. The calculation puts the theoretical density at 12.9 g cm⁻³. The calculation puts the density of states at the Fermi level at 0.38 states/eV per atom. For the total energy, the calculation gives -2.280 eV/atom.

```
&SYSTEM
  ibrav = 0, nat = 4, ntyp = 2
/
ATOMIC_SPECIES
Pb 207.20 Pb.upf
Hg 200.59 Hg.upf
CELL_PARAMETERS angstrom
-0.7605 1.4062 2.9429
0.7989 -4.4388 2.3275
6.2832 0.8330 -0.5682
ATOMIC_POSITIONS crystal
Pb 0.3141 0.7500 0.1528
Pb 0.6859 0.2500 0.8472
Hg 0.0840 0.7500 0.6344
Hg 0.9160 0.2500 0.3656
```


8.
Hg2Pb | GGA-PBEsol | relaxed Values from VASP.

Computed properties:
The calculation puts the size of the total moment at 0.00 μB per formula unit. The calculation puts the theoretical density at 13.4 g cm⁻³. The calculation puts the density of states at the Fermi level at 0.54 states/eV per atom. As for the excess energy over the best structure of this formula in the dataset: 0.115 eV per formula unit.

```
&SYSTEM
  ibrav = 0, nat = 6, ntyp = 2
/
ATOMIC_SPECIES
Hg 200.59 Hg.upf
Pb 207.20 Pb.upf
CELL_PARAMETERS angstrom
5.9760 0.0000 0.0000
2.9880 5.1754 0.0000
2.9880 1.7251 4.8794
ATOMIC_POSITIONS crystal
Hg 0.1250 0.1250 0.1250
Hg 0.1250 0.1250 0.6250
Hg 0.1250 0.6250 0.1250
Hg 0.6250 0.1250 0.1250
Pb 0.5000 0.5000 0.5000
Pb 0.7500 0.7500 0.7500
```


Q: What is the theoretical density in the eighth record?
A: 13.4 g cm⁻³